one | Material: Pu2BiCl
Method: DFT, GGA-PBE
State: optimized geometry

Lattice parameters (Å, degrees): 5.348 5.348 5.348 60.00 60.00 60.00
Last column: magnetic moment on the atom in μB.
Positions (direct):
Pu 0.250 0.250 0.250  5.68
Pu 0.750 0.750 0.750  5.68
Cl 0.500 0.500 0.500  -0.06
Bi 0.000 0.000 0.000  -0.18

Summary:
- Fermi-level density of states (states/eV/cell) = 16.63
- total magnetization (Bohr magnetons per cell) = 12.0


two | Material: Pu2BiCl
Method: DFT, GGA-PBE
State: optimized geometry

Lattice parameters (Å, degrees): 3.447 5.608 5.608 90.00 90.00 90.00
Last column: magnetic moment on the atom in μB.
Positions (direct):
Pu 0.000 0.000 0.500  5.85
Pu 0.000 0.500 0.000  5.85
Cl 0.500 0.000 0.000  -0.04
Bi 0.500 0.500 0.500  -0.09

Summary:
- Fermi-level density of states (states/eV/cell) = 13.37
- total magnetization (Bohr magnetons per cell) = 12.7


Which of them is the most stable? Correct choice: one.


one | Material: Pu2BiCl
Method: DFT, GGA-PBE
State: optimized geometry

Lattice parameters (Å, degrees): 4.495 4.495 6.959 71.16 71.16 60.00
Last column: magnetic moment on the atom in μB.
Positions (direct):
Bi 0.500 0.500 0.500  -0.17
Cl 0.000 0.000 0.000  -0.07
Pu 0.263 0.263 0.211  5.64
Pu 0.737 0.737 0.789  5.64

Summary:
- Fermi-level density of states (states/eV/cell) = 18.66
- total magnetization (Bohr magnetons per cell) = 11.9


two | Material: Pu2BiCl
Method: DFT, GGA-PBE
State: optimized geometry

Lattice parameters (Å, degrees): 4.263 4.263 7.902 74.35 74.35 60.00
Last column: magnetic moment on the atom in μB.
Positions (direct):
Cl 0.496 0.496 0.513  0.06
Bi 0.669 0.669 0.994  0.19
Pu 0.246 0.246 0.262  -5.67
Pu 0.090 0.090 0.731  -5.62

Summary:
- Fermi-level density of states (states/eV/cell) = 20.05
- total magnetization (Bohr magnetons per cell) = 12.0


Which of them is the most stable? Correct choice: one.


one | Material: Rb2Bi2Cl7
Method: DFT, GGA-PBE
State: optimized geometry

Lattice parameters (Å, degrees): 7.464 8.396 8.396 107.61 92.76 92.76
Last column: magnetic moment on the atom in μB.
Positions (direct):
Bi 0.908 0.268 0.268  0.07
Bi 0.092 0.732 0.732  0.07
Rb 0.500 0.698 0.302  0.00
Rb 0.500 0.302 0.698  0.00
Cl 0.730 0.397 0.062  0.00
Cl 0.777 0.576 0.576  0.00
Cl 0.730 0.062 0.397  0.00
Cl 0.270 0.938 0.603  0.00
Cl 0.270 0.603 0.938  0.00
Cl 0.000 0.000 0.000  0.00
Cl 0.223 0.424 0.424  0.00

Summary:
- Fermi-level density of states (states/eV/cell) = 3.62
- total magnetization (Bohr magnetons per cell) = 0.2


two | Material: Rb2Bi2Cl7
Method: DFT, GGA-PBE
State: optimized geometry

Lattice parameters (Å, degrees): 7.108 7.548 7.548 74.45 94.69 94.69
Positions (direct):
Rb 0.500 0.766 0.234
Rb 0.500 0.234 0.766
Bi 0.935 0.758 0.758
Bi 0.065 0.242 0.242
Cl 0.000 0.000 0.000
Cl 0.233 0.954 0.500
Cl 0.767 0.500 0.046
Cl 0.233 0.500 0.954
Cl 0.216 0.447 0.447
Cl 0.784 0.553 0.553
Cl 0.767 0.046 0.500

Summary:
- Fermi-level density of states (states/eV/cell) = 3.28
- total magnetization (Bohr magnetons per cell) = 0.0


Which of them is the most stable? Correct choice: two.


one | Material: RbBi2Cl
Method: DFT, GGA-PBE
State: optimized geometry

Lattice parameters (Å, degrees): 5.764 5.764 5.764 60.00 60.00 60.00
Positions (direct):
Rb 0.500 0.500 0.500
Bi 0.250 0.250 0.250
Bi 0.750 0.750 0.750
Cl 0.000 0.000 0.000

Summary:
- Fermi-level density of states (states/eV/cell) = 4.81
- total magnetization (Bohr magnetons per cell) = 0.0


two | Material: RbBi2Cl
Method: DFT, GGA-PBE
State: optimized geometry

Lattice parameters (Å, degrees): 4.561 4.561 18.713 83.00 83.00 90.00
Positions (direct):
Cl 0.250 0.750 0.500
Cl 0.500 0.500 0.000
Rb 0.000 0.000 0.000
Rb 0.750 0.250 0.500
Bi 0.165 0.625 0.250
Bi 0.585 0.125 0.250
Bi 0.875 0.835 0.750
Bi 0.375 0.415 0.750

Summary:
- Fermi-level density of states (states/eV/cell) = 2.90
- total magnetization (Bohr magnetons per cell) = 0.0


Which of them is the most stable? Correct choice: two.


one | Material: RbBi2Cl8
Method: DFT, GGA-PBE
State: optimized geometry

Lattice parameters (Å, degrees): 7.925 7.176 7.176 70.65 83.63 83.63
Positions (direct):
Cl 0.861 0.747 0.747
Cl 0.617 0.953 0.309
Cl 0.725 0.447 0.447
Cl 0.275 0.553 0.553
Cl 0.617 0.309 0.953
Cl 0.383 0.691 0.047
Cl 0.383 0.047 0.691
Cl 0.139 0.253 0.253
Bi 0.576 0.668 0.668
Bi 0.424 0.332 0.332
Rb 0.000 0.000 0.000

Summary:
- Fermi-level density of states (states/eV/cell) = 5.38
- total magnetization (Bohr magnetons per cell) = 0.0


two | Material: RbBi2Cl8
Method: DFT, GGA-PBE
State: optimized geometry

Lattice parameters (Å, degrees): 5.355 8.185 8.185 115.81 90.05 90.05
Positions (direct):
Cl 0.500 0.747 0.253
Cl 0.999 0.675 0.948
Cl 0.746 0.500 0.500
Cl 0.254 0.500 0.500
Cl 0.500 0.253 0.747
Cl 0.001 0.325 0.052
Cl 0.001 0.052 0.325
Cl 0.999 0.948 0.675
Bi 0.000 0.703 0.297
Bi 0.000 0.297 0.703
Rb 0.500 0.000 0.000

Summary:
- Fermi-level density of states (states/eV/cell) = 1.39
- total magnetization (Bohr magnetons per cell) = 0.0


Which of them is the most stable? Correct choice: two.


one | Material: RbBiSCl2
Method: DFT, GGA-PBE
State: optimized geometry

Lattice parameters (Å, degrees): 5.593 5.593 5.341 90.00 90.00 90.00
Positions (direct):
Cl 0.000 0.500 0.000
Cl 0.500 0.000 0.000
Rb 0.500 0.500 0.500
Bi 0.000 0.000 0.000
S 0.000 0.000 0.500

Summary:
- Fermi-level density of states (states/eV/cell) = 0.92
- total magnetization (Bohr magnetons per cell) = 0.0


two | Material: RbBiSCl2
Method: DFT, GGA-PBE
State: optimized geometry

Lattice parameters (Å, degrees): 5.646 5.646 5.694 90.00 90.00 90.00
Positions (direct):
Rb 0.000 0.000 0.000
Bi 0.500 0.500 0.500
Cl 0.500 0.000 0.000
Cl 0.000 0.500 0.000
S 0.000 0.000 0.500

Summary:
- Fermi-level density of states (states/eV/cell) = 5.51
- total magnetization (Bohr magnetons per cell) = 0.0


Which of them is the most stable? Correct choice: one.


one | Material: Re3BiCl
Method: DFT, GGA-PBE
State: optimized geometry

Lattice parameters (Å, degrees): 4.505 4.505 4.505 90.00 90.00 90.00
Last column: magnetic moment on the atom in μB.
Positions (direct):
Re 0.000 0.500 0.000  0.33
Re 0.500 0.000 0.000  0.40
Re 0.000 0.000 0.500  0.26
Bi 0.500 0.500 0.500  -0.03
Cl 0.000 0.000 0.000  0.00

Summary:
- Fermi-level density of states (states/eV/cell) = 5.53
- total magnetization (Bohr magnetons per cell) = 1.1


two | Material: Re3BiCl
Method: DFT, GGA-PBE
State: optimized geometry

Lattice parameters (Å, degrees): 5.225 5.225 5.225 90.00 90.00 90.00
Last column: magnetic moment on the atom in μB.
Positions (direct):
Re 0.000 0.000 0.500  2.47
Re 0.500 0.000 0.000  2.20
Re 0.000 0.500 0.000  2.36
Cl 0.500 0.500 0.500  0.28
Bi 0.000 0.000 0.000  -0.10

Summary:
- Fermi-level density of states (states/eV/cell) = 7.33
- total magnetization (Bohr magnetons per cell) = 8.7


Which of them is the most stable? Correct choice: one.


one | Material: ReBiCl3
Method: DFT, GGA-PBE
State: optimized geometry

Lattice parameters (Å, degrees): 5.546 5.546 5.546 90.00 90.00 90.00
Last column: magnetic moment on the atom in μB.
Positions (direct):
Bi 0.000 0.000 0.000  -0.20
Re 0.500 0.500 0.500  4.37
Cl 0.500 0.000 0.000  0.02
Cl 0.000 0.000 0.500  0.02
Cl 0.000 0.500 0.000  0.04

Summary:
- Fermi-level density of states (states/eV/cell) = 5.22
- total magnetization (Bohr magnetons per cell) = 5.2


two | Material: ReBiCl3
Method: DFT, GGA-PBE
State: optimized geometry

Lattice parameters (Å, degrees): 4.846 4.846 4.846 90.00 90.00 90.00
Last column: magnetic moment on the atom in μB.
Positions (direct):
Cl 0.000 0.500 0.000  0.01
Cl 0.500 0.000 0.000  0.05
Cl 0.000 0.000 0.500  -0.01
Re 0.000 0.000 0.000  1.30
Bi 0.500 0.500 0.500  -0.38

Summary:
- Fermi-level density of states (states/eV/cell) = 6.19
- total magnetization (Bohr magnetons per cell) = 1.0


Which of them is the most stable? Correct choice: two.


one | Material: ReBi2Cl
Method: DFT, GGA-PBE
State: optimized geometry

Lattice parameters (Å, degrees): 5.084 5.084 5.084 60.00 60.00 60.00
Last column: magnetic moment on the atom in μB.
Positions (direct):
Bi 0.750 0.750 0.750  -0.10
Bi 0.250 0.250 0.250  -0.10
Cl 0.000 0.000 0.000  0.04
Re 0.500 0.500 0.500  1.79

Summary:
- Fermi-level density of states (states/eV/cell) = 2.61
- total magnetization (Bohr magnetons per cell) = 2.0


two | Material: ReBi2Cl
Method: DFT, GGA-PBE
State: optimized geometry

Lattice parameters (Å, degrees): 6.675 6.675 7.923 65.09 65.09 90.00
Positions (direct):
Bi 0.060 0.625 0.250
Bi 0.875 0.940 0.750
Bi 0.690 0.125 0.250
Bi 0.375 0.310 0.750
Re 0.750 0.250 0.500
Re 0.000 0.000 0.000
Cl 0.250 0.750 0.500
Cl 0.500 0.500 0.000

Summary:
- Fermi-level density of states (states/eV/cell) = 2.79
- total magnetization (Bohr magnetons per cell) = 0.0


Which of them is the most stable? Correct choice: two.


one | Material: BiRh2Cl
Method: DFT, GGA-PBE
State: optimized geometry

Lattice parameters (Å, degrees): 4.962 4.962 7.904 71.70 71.70 90.00
Positions (direct):
Bi 0.000 0.000 0.000
Bi 0.750 0.250 0.500
Rh 0.375 0.474 0.750
Rh 0.224 0.625 0.250
Rh 0.526 0.125 0.250
Rh 0.875 0.776 0.750
Cl 0.500 0.500 0.000
Cl 0.250 0.750 0.500

Summary:
- Fermi-level density of states (states/eV/cell) = 3.39
- total magnetization (Bohr magnetons per cell) = 0.0


two | Material: BiRh2Cl
Method: DFT, GGA-PBE
State: optimized geometry

Lattice parameters (Å, degrees): 4.665 4.665 4.665 60.00 60.00 60.00
Last column: magnetic moment on the atom in μB.
Positions (direct):
Cl 0.000 0.000 0.000  0.01
Rh 0.750 0.750 0.750  0.19
Rh 0.250 0.250 0.250  0.19
Bi 0.500 0.500 0.500  -0.02

Summary:
- Fermi-level density of states (states/eV/cell) = 5.36
- total magnetization (Bohr magnetons per cell) = 0.4


Which of them is the most stable? Correct choice: one.


one | Material: VBiRhCl
Method: DFT, GGA-PBE
State: optimized geometry

Lattice parameters (Å, degrees): 3.009 3.009 8.835 90.00 90.27 90.00
Positions (direct):
Bi 0.939 0.000 0.909
V 0.946 0.000 0.332
Cl 0.448 0.500 0.498
Rh 0.443 0.500 0.145

Summary:
- Fermi-level density of states (states/eV/cell) = 3.09
- total magnetization (Bohr magnetons per cell) = 0.0


two | Material: VBiRhCl
Method: DFT, GGA-PBE
State: optimized geometry

Lattice parameters (Å, degrees): 8.760 4.343 5.025 90.00 103.94 90.00
Positions (direct):
Bi 0.081 0.500 0.709
Bi 0.081 0.000 0.209
Rh 0.855 0.500 0.177
Rh 0.855 0.000 0.677
V 0.717 0.000 0.015
V 0.717 0.500 0.515
Cl 0.463 0.500 0.396
Cl 0.463 0.000 0.896

Summary:
- Fermi-level density of states (states/eV/cell) = 2.80
- total magnetization (Bohr magnetons per cell) = 0.0


three | Material: VBiRhCl
Method: DFT, GGA-PBE
State: optimized geometry

Lattice parameters (Å, degrees): 3.086 4.235 8.038 100.13 93.83 111.18
Last column: magnetic moment on the atom in μB.
Positions (direct):
V 0.138 0.887 0.720  0.09
Cl 0.567 0.823 0.494  0.00
Bi 0.826 0.141 0.062  0.00
Rh 0.455 0.476 0.840  -0.01

Summary:
- Fermi-level density of states (states/eV/cell) = 2.61
- total magnetization (Bohr magnetons per cell) = 0.1


Which of them is the most stable? Correct choice: three.


one | Material: BiS3Cl
Method: DFT, GGA-PBE
State: optimized geometry

Lattice parameters (Å, degrees): 5.332 5.332 5.332 90.00 90.00 90.00
Last column: magnetic moment on the atom in μB.
Positions (direct):
S 0.000 0.500 0.000  0.53
S 0.000 0.000 0.500  0.61
S 0.500 0.000 0.000  0.67
Cl 0.500 0.500 0.500  0.57
Bi 0.000 0.000 0.000  0.00

Summary:
- Fermi-level density of states (states/eV/cell) = 8.39
- total magnetization (Bohr magnetons per cell) = 3.6


two | Material: BiS3Cl
Method: DFT, GGA-PBE
State: optimized geometry

Lattice parameters (Å, degrees): 4.835 7.729 8.259 89.99 90.00 89.98
Positions (direct):
Bi 0.853 0.637 0.299
Bi 0.353 0.716 0.799
Cl 0.411 0.433 0.299
Cl 0.911 0.920 0.799
S 0.772 0.435 0.799
S 0.043 0.478 0.607
S 0.543 0.874 0.491
S 0.272 0.918 0.299
S 0.543 0.874 0.107
S 0.043 0.478 0.991

Summary:
- total magnetization (Bohr magnetons per cell) = 0.0


three | Material: BiS3Cl
Method: DFT, GGA-PBE
State: optimized geometry

Lattice parameters (Å, degrees): 4.732 4.732 4.732 90.00 90.00 90.00
Positions (direct):
Bi 0.500 0.500 0.500
Cl 0.000 0.000 0.000
S 0.000 0.500 0.000
S 0.500 0.000 0.000
S 0.000 0.000 0.500

Summary:
- Fermi-level density of states (states/eV/cell) = 2.19
- total magnetization (Bohr magnetons per cell) = 0.0


Which of them is the most stable? Correct choice: two.